[1]
# Pu3N2Cl2 (PBE, optimized geometry)
# Energy relative to the elements, uncorrected = -1.342 eV per atom
# Total moment = 9.059 Bohr magnetons per cell
# Electronic total energy = -10.39 eV per atom
data_Pu3N2Cl2
_symmetry_space_group_name_H-M 'C 1 2/m 1'
_symmetry_Int_Tables_number 12
_cell_length_a 13.772
_cell_length_b 3.679
_cell_length_c 6.627
_cell_angle_alpha 90.00
_cell_angle_beta 116.96
_cell_angle_gamma 90.00
loop_
_symmetry_equiv_pos_as_xyz
'x,y,z'
'-x,-y,-z'
'-x,y,-z'
'x,-y,z'
'x+1/2,y+1/2,z'
'-x+1/2,-y+1/2,-z'
'-x+1/2,y+1/2,-z'
'x+1/2,-y+1/2,z'
loop_
_atom_site_label
_atom_site_type_symbol
_atom_site_fract_x
_atom_site_fract_y
_atom_site_fract_z
Pu1 Pu 0.000 0.000 0.000
Pu2 Pu 0.231 0.000 0.766
N1 N 0.178 0.000 0.036
Cl1 Cl 0.093 0.500 0.380

***

[2]
# Pu4N3Cl (PBE, optimized geometry)
# Energy relative to the elements, uncorrected = -1.269 eV per atom
# Total moment = 42.594 Bohr magnetons per cell
# Electronic total energy = -11.79 eV per atom
data_Pu4N3Cl
_symmetry_space_group_name_H-M 'P 63/m m c'
_symmetry_Int_Tables_number 194
_symmetry_space_group_name_Hall '-P 6c 2c'
_cell_length_a 3.5079
_cell_length_b 3.5079
_cell_length_c 25.9509
_cell_angle_alpha 90.00
_cell_angle_beta 90.00
_cell_angle_gamma 120.00
loop_
_atom_site_label
_atom_site_type_symbol
_atom_site_fract_x
_atom_site_fract_y
_atom_site_fract_z
Pu1 Pu 0.0000 0.0000 0.1628
Pu2 Pu 0.3333 0.6667 0.0543
N1 N 0.0000 0.0000 0.0000
N2 N 0.3333 0.6667 0.6137
Cl1 Cl 0.3333 0.6667 0.2500

***

[3]
# Pu4N2Cl (PBE, optimized geometry)
# Energy relative to the elements, uncorrected = -0.005 eV per atom
# Total moment = 33.457 Bohr magnetons per cell
# Electronic total energy = -10.84 eV per atom
data_Pu4N2Cl
_symmetry_space_group_name_H-M 'R -3 m'
_symmetry_Int_Tables_number 166
_symmetry_space_group_name_Hall '-R 3 2"'
_cell_length_a 4.2406
_cell_length_b 4.2406
_cell_length_c 24.8636
_cell_angle_alpha 90.00
_cell_angle_beta 90.00
_cell_angle_gamma 120.00
loop_
_atom_site_label
_atom_site_type_symbol
_atom_site_fract_x
_atom_site_fract_y
_atom_site_fract_z
Pu1 Pu 0.0000 0.0000 0.1663
Pu2 Pu 0.0000 0.0000 0.2750
N1 N 0.0000 0.0000 0.4710
Cl1 Cl 0.0000 0.0000 0.0000

***

[4]
# Pu4N2Cl5 (PBE, optimized geometry)
# Energy relative to the elements, uncorrected = -1.477 eV per atom
# Total moment = 42.000 Bohr magnetons per cell
# Electronic total energy = -9.04 eV per atom
data_Pu4N2Cl5
_symmetry_space_group_name_H-M 'I m m m'
_symmetry_Int_Tables_number 71
_symmetry_space_group_name_Hall '-I 2 2'
_cell_length_a 3.487
_cell_length_b 7.748
_cell_length_c 17.601
_cell_angle_alpha 90.00
_cell_angle_beta 90.00
_cell_angle_gamma 90.00
loop_
_atom_site_label
_atom_site_type_symbol
_atom_site_fract_x
_atom_site_fract_y
_atom_site_fract_z
Pu1 Pu 0.000 0.000 0.185
Pu2 Pu 0.000 0.313 0.500
N1 N 0.000 0.000 0.068
Cl1 Cl 0.000 0.215 0.335
Cl2 Cl 0.000 0.500 0.000

***

[5]
# Pu2NCl (PBE, optimized geometry)
# Energy relative to the elements, uncorrected = -0.821 eV per atom
# Total moment = 11.942 Bohr magnetons per cell
# Electronic total energy = -10.53 eV per atom
data_Pu2NCl
_symmetry_space_group_name_H-M 'P 4/m m m'
_symmetry_Int_Tables_number 123
_symmetry_space_group_name_Hall '-P 4 2'
_cell_length_a 3.162
_cell_length_b 3.162
_cell_length_c 7.239
_cell_angle_alpha 90.00
_cell_angle_beta 90.00
_cell_angle_gamma 90.00
loop_
_atom_site_label
_atom_site_type_symbol
_atom_site_fract_x
_atom_site_fract_y
_atom_site_fract_z
Pu1 Pu 0.000 0.000 0.198
N1 N 0.500 0.500 0.000
Cl1 Cl 0.500 0.500 0.500

***

[6]
# RbN2Cl2 (PBE, optimized geometry)
# Energy relative to the elements, uncorrected = -0.549 eV per atom
# Offset from the most stable computed form = 0.0 meV/atom
# Total moment = 4.057 Bohr magnetons per cell
# Electronic total energy = -4.81 eV per atom
data_RbN2Cl2
_symmetry_space_group_name_H-M 'P 4/m n c'
_symmetry_Int_Tables_number 128
_symmetry_space_group_name_Hall '-P 4 2n'
_cell_length_a 7.197
_cell_length_b 7.197
_cell_length_c 10.227
_cell_angle_alpha 90.00
_cell_angle_beta 90.00
_cell_angle_gamma 90.00
loop_
_atom_site_label
_atom_site_type_symbol
_atom_site_fract_x
_atom_site_fract_y
_atom_site_fract_z
Rb1 Rb 0.000 0.000 0.250
N1 N 0.055 0.445 0.250
Cl1 Cl 0.239 0.741 0.000

***

[7]
# Rb3NCl3 (PBE, optimized geometry)
# Energy relative to the elements, uncorrected = -1.545 eV per atom
# Total moment = 0.000 Bohr magnetons per cell
# Electronic total energy = -3.94 eV per atom
data_Rb3NCl3
_symmetry_space_group_name_H-M 'C 1 2/m 1'
_symmetry_Int_Tables_number 12
_cell_length_a 9.190
_cell_length_b 13.754
_cell_length_c 8.744
_cell_angle_alpha 90.00
_cell_angle_beta 105.29
_cell_angle_gamma 90.00
loop_
_symmetry_equiv_pos_as_xyz
'x,y,z'
'-x,-y,-z'
'-x,y,-z'
'x,-y,z'
'x+1/2,y+1/2,z'
'-x+1/2,-y+1/2,-z'
'-x+1/2,y+1/2,-z'
'x+1/2,-y+1/2,z'
loop_
_atom_site_label
_atom_site_type_symbol
_atom_site_fract_x
_atom_site_fract_y
_atom_site_fract_z
Rb1 Rb 0.106 0.000 0.265
Rb2 Rb 0.194 0.345 0.193
N1 N 0.053 0.500 0.481
Cl1 Cl 0.000 0.158 0.500
Cl2 Cl 0.000 0.173 0.000
Cl3 Cl 0.122 0.500 0.886

***

[8]
# Rb2N2Cl (PBE, optimized geometry)
# Energy relative to the elements, uncorrected = -0.840 eV per atom
# Offset from the most stable computed form = 0.0 meV/atom
# Total moment = 1.958 Bohr magnetons per cell
# Electronic total energy = -4.93 eV per atom
data_Rb2N2Cl
_symmetry_space_group_name_H-M 'C 1 2/m 1'
_symmetry_Int_Tables_number 12
_cell_length_a 8.059
_cell_length_b 4.606
_cell_length_c 8.484
_cell_angle_alpha 90.00
_cell_angle_beta 112.54
_cell_angle_gamma 90.00
loop_
_symmetry_equiv_pos_as_xyz
'x,y,z'
'-x,-y,-z'
'-x,y,-z'
'x,-y,z'
'x+1/2,y+1/2,z'
'-x+1/2,-y+1/2,-z'
'-x+1/2,y+1/2,-z'
'x+1/2,-y+1/2,z'
loop_
_atom_site_label
_atom_site_type_symbol
_atom_site_fract_x
_atom_site_fract_y
_atom_site_fract_z
Rb1 Rb 0.234 0.000 0.249
N1 N 0.044 0.500 0.957
Cl1 Cl 0.000 0.000 0.500

***

[9]
# Rb2NCl7 (PBE, optimized geometry)
# Energy relative to the elements, uncorrected = -0.301 eV per atom
# Total moment = 0.000 Bohr magnetons per cell
# Electronic total energy = -2.62 eV per atom
data_Rb2NCl7
_symmetry_space_group_name_H-M 'I 4/m m m'
_symmetry_Int_Tables_number 139
_symmetry_space_group_name_Hall '-I 4 2'
_cell_length_a 7.559
_cell_length_b 7.559
_cell_length_c 9.094
_cell_angle_alpha 90.00
_cell_angle_beta 90.00
_cell_angle_gamma 90.00
loop_
_atom_site_label
_atom_site_type_symbol
_atom_site_fract_x
_atom_site_fract_y
_atom_site_fract_z
Rb1 Rb 0.000 0.500 0.250
N1 N 0.000 0.000 0.000
Cl1 Cl 0.000 0.000 0.244
Cl2 Cl 0.000 0.000 0.500
Cl3 Cl 0.211 0.211 0.000

***

[10]
# Rb2N2Cl (PBE, optimized geometry)
# Energy relative to the elements, uncorrected = -0.773 eV per atom
# Offset from the most stable computed form = 67.0 meV/atom
# Total moment = 2.000 Bohr magnetons per cell
# Electronic total energy = -4.86 eV per atom
data_Rb2N2Cl
_symmetry_space_group_name_H-M 'P 4/m b m'
_symmetry_Int_Tables_number 127
_symmetry_space_group_name_Hall '-P 4 2ab'
_cell_length_a 8.120
_cell_length_b 8.120
_cell_length_c 3.850
_cell_angle_alpha 90.00
_cell_angle_beta 90.00
_cell_angle_gamma 90.00
loop_
_atom_site_label
_atom_site_type_symbol
_atom_site_fract_x
_atom_site_fract_y
_atom_site_fract_z
Rb1 Rb 0.227 0.273 0.000
N1 N 0.052 0.552 0.500
Cl1 Cl 0.000 0.000 0.500

***

[11]
# Rb2NCl3 (PBE, optimized geometry)
# Energy relative to the elements, uncorrected = -0.617 eV per atom
# Total moment = 1.338 Bohr magnetons per cell
# Electronic total energy = -3.25 eV per atom
data_Rb2NCl3
_symmetry_space_group_name_H-M 'C 1 2/m 1'
_symmetry_Int_Tables_number 12
_cell_length_a 20.021
_cell_length_b 4.560
_cell_length_c 9.651
_cell_angle_alpha 90.00
_cell_angle_beta 97.73
_cell_angle_gamma 90.00
loop_
_symmetry_equiv_pos_as_xyz
'x,y,z'
'-x,-y,-z'
'-x,y,-z'
'x,-y,z'
'x+1/2,y+1/2,z'
'-x+1/2,-y+1/2,-z'
'-x+1/2,y+1/2,-z'
'x+1/2,-y+1/2,z'
loop_
_atom_site_label
_atom_site_type_symbol
_atom_site_fract_x
_atom_site_fract_y
_atom_site_fract_z
Rb1 Rb 0.100 0.000 0.151
Rb2 Rb 0.170 0.000 0.614
N1 N 0.081 0.500 0.857
Cl1 Cl 0.061 0.000 0.822
Cl2 Cl 0.166 0.500 0.371
Cl3 Cl 0.167 0.500 0.905

***

[12]
# Rb2N2Cl (PBE, optimized geometry)
# Energy relative to the elements, uncorrected = 0.806 eV per atom
# Offset from the most stable computed form = 1645.7 meV/atom
# Total moment = 2.055 Bohr magnetons per cell
# Electronic total energy = -3.28 eV per atom
data_Rb2N2Cl
_symmetry_space_group_name_H-M 'I 4/m m m'
_symmetry_Int_Tables_number 139
_symmetry_space_group_name_Hall '-I 4 2'
_cell_length_a 3.385
_cell_length_b 3.385
_cell_length_c 18.424
_cell_angle_alpha 90.00
_cell_angle_beta 90.00
_cell_angle_gamma 90.00
loop_
_atom_site_label
_atom_site_type_symbol
_atom_site_fract_x
_atom_site_fract_y
_atom_site_fract_z
Rb1 Rb 0.000 0.000 0.117
N1 N 0.000 0.500 0.250
Cl1 Cl 0.000 0.000 0.500